Record 1
# PBE TbDy3Tm2, optimized geometry
data_TbDy3Tm2
_symmetry_space_group_name_H-M 'P 1'
_symmetry_Int_Tables_number 1
_symmetry_space_group_name_Hall 'P 1'
_cell_length_a 9.416
_cell_length_b 9.416
_cell_length_c 6.139
_cell_angle_alpha 102.56
_cell_angle_beta 102.56
_cell_angle_gamma 44.23
loop_
_atom_site_label
_atom_site_type_symbol
_atom_site_fract_x
_atom_site_fract_y
_atom_site_fract_z
Tb1 Tb 0.124 0.876 0.750
Tb2 Tb 0.876 0.124 0.250
Dy1 Dy 0.208 0.457 0.471
Dy2 Dy 0.374 0.626 0.250
Dy3 Dy 0.457 0.208 0.971
Dy4 Dy 0.543 0.792 0.029
Dy5 Dy 0.626 0.374 0.750
Dy6 Dy 0.792 0.543 0.529
Tm1 Tm 0.042 0.292 0.028
Tm2 Tm 0.292 0.042 0.528
Tm3 Tm 0.708 0.958 0.472
Tm4 Tm 0.958 0.708 0.972
# SG: C2/c, No. 15
# Final energy (eV/cell): -54.8
# E_form (kJ/mol of atoms): 0
# V (Å³/atom): 30.76
# Total magnetization (μB/cell): 0.0

---

Record 2
# PBE NdNi, optimized geometry
data_NdNi
_symmetry_space_group_name_H-M 'P 1'
_symmetry_Int_Tables_number 1
_symmetry_space_group_name_Hall 'P 1'
_cell_length_a 4.170
_cell_length_b 4.170
_cell_length_c 4.170
_cell_angle_alpha 55.03
_cell_angle_beta 55.03
_cell_angle_gamma 55.03
loop_
_atom_site_label
_atom_site_type_symbol
_atom_site_fract_x
_atom_site_fract_y
_atom_site_fract_z
Nd1 Nd 0.000 0.000 0.000
Ni1 Ni 0.500 0.500 0.500
# SG: R-3m, No. 166
# Final energy (eV/cell): -10.6
# E_form (kJ/mol of atoms): -14
# V (Å³/atom): 22.67
# Total magnetization (μB/cell): 0.0